Density functional theory data (SCAN) for a PBEsol-optimized structure of KMg2Be2.

## Properties
The calculation puts the size of the total moment at 0.00 μB/f.u. The value obtained for the total energy is -4.866 eV per atom. Its formation energy from the elements is 0.53 eV/atom. Its density of states at the Fermi level is 2.22 states/eV/cell.

a = 8.147 Å, b = 8.147 Å, c = 2.942 Å
α = 90.00°, β = 90.00°, γ = 90.00°
Fractional positions:
1 K 0.000 0.000 0.000
2 K 0.500 0.500 0.000
3 Mg 0.169 0.331 0.500
4 Mg 0.331 0.831 0.500
5 Mg 0.669 0.169 0.500
6 Mg 0.831 0.669 0.500
7 Be 0.104 0.604 0.000
8 Be 0.396 0.104 0.000
9 Be 0.604 0.896 0.000
10 Be 0.896 0.396 0.000